CsAuI2O after structural relaxation, computed with PBEsol.

* DOS at the Fermi energy: 0.497 states/eV per atom
* formation energy without anion corrections: -412 meV per atom
* total moment: 0.1568 μB/atom

The structure in extended XYZ format:
```
5
Lattice="6.017 0.000 0.000 0.000 6.017 0.000 0.000 0.000 4.030" Properties=species:S:1:pos:R:3 pbc="T T T"
Cs 0.000 0.000 0.000
Au 3.009 3.009 2.015
I 0.000 3.009 2.015
I 3.009 0.000 2.015
O 3.009 3.009 0.000
```